DFT (PBE) results for a geometry-optimized ThMgCd4 structure.

Calculated values
* magnetic moment: 0.00 Bohr magnetons per cell
* energy of formation: -0.04 eV per formula unit
* density: 8.0 g/cm3
* excess energy over the best structure of this formula in the dataset: 0.136 eV per atom

Unit cell a=5.9223 b=5.9223 c=5.9223 alpha=60.00 beta=60.00 gamma=60.00
Positions (direct):
Th  0.0000  0.0000  0.0000
Mg  0.2500  0.2500  0.2500
Cd  0.1247  0.6251  0.6251
Cd  0.6251  0.1247  0.6251
Cd  0.6251  0.6251  0.1247
Cd  0.6251  0.6251  0.6251